## Rb3MnF (PBE+U)

Data for an optimized crystal structure of Rb3MnF.

```
Rb3MnF
1.0
5.9023 0.0000 0.0000
0.0000 5.9023 0.0000
0.0000 0.0000 5.9023
Rb Mn F
3 1 1
Cartesian
0.0000 0.0000 2.9511
0.0000 2.9511 0.0000
2.9511 0.0000 0.0000
2.9511 2.9511 2.9511
0.0000 0.0000 0.0000
```

Calculated values
As for the spin magnetization: 5.65 μB per formula unit. The calculated total energy comes out at -3.11 eV/atom. The calculation puts the energy above the most stable polymorph in this dataset at 0 meV per atom.